HoCdAu | PBE | relaxed

a b c (Å): 4.846 4.846 4.846
angles (deg): 60.00 60.00 60.00
Sites, in units of the cell vectors:
Ho 0.000 0.000 0.000
Cd 0.750 0.750 0.750
Au 0.250 0.250 0.250

Energy of formation from the pure elements (eV per atom): -0.1725
SG: F-43m (216)
Electronic total energy (eV for the cell shown): -9.26
Crystal system: cubic